Computed, not measured: a relaxed structure of SrTaTi3 at the PBE level of DFT.

Cell: 5.009 5.009 5.009 Å, 90.00 90.00 90.00°
Element x y z (fractional)
Sr (0.000, 0.000, 0.000)
Ta (0.500, 0.500, 0.500)
Ti (0.000, 0.500, 0.500)
Ti (0.500, 0.000, 0.500)
Ti (0.500, 0.500, 0.000)

- Density: 5.446 g/cm3
- Polymorph energy (0 for the lowest one): 0 meV/atom

---

Computed, not measured: a relaxed structure of K2ZnRu at the PBE level of DFT.

Cell: 2.922 5.474 5.871 Å, 90.00 91.02 90.00°
Element x y z (fractional)
K (0.002, 0.000, 0.255)
K (0.998, 0.000, 0.745)
Zn (0.500, 0.500, 0.000)
Ru (0.500, 0.500, 0.500)

- E: -0.1657 Ry/atom
- Density: 4.327 g/cm3

---

Computed, not measured: a relaxed structure of Ba4V2Te at the PBE level of DFT.

Cell: 9.451 9.451 9.451 Å, 138.42 138.42 60.26°
Element x y z (fractional)
Ba (0.000, 0.500, 0.500)
Ba (0.208, 0.208, 0.000)
Ba (0.500, 0.000, 0.500)
Ba (0.792, 0.792, 0.000)
V (0.415, 0.415, 0.000)
V (0.585, 0.585, 0.000)
Te (0.000, 0.000, 0.000)

- Formation energy without anion corrections: 0.339 eV per atom
- Density: 3.515 g/cm3

---

Computed, not measured: a relaxed structure of YTaSi2H at the PBE level of DFT.

Cell: 4.817 4.817 5.568 Å, 90.00 90.00 90.00°
Element x y z (fractional)
Y (0.000, 0.000, 0.000)
Ta (0.000, 0.000, 0.500)
Si (0.000, 0.500, 0.500)
Si (0.500, 0.000, 0.500)
H (0.500, 0.500, 0.000)

- E: -0.4138 Ry/atom
- Density: 4.204 g/cm3

---

Computed, not measured: a relaxed structure of Sr3InPt8 at the PBE level of DFT.

Cell: 9.539 9.539 9.539 Å, 33.73 33.73 33.73°
Element x y z (fractional)
Sr (0.000, 0.000, 0.000)
Sr (0.127, 0.127, 0.127)
Sr (0.505, 0.505, 0.505)
In (0.628, 0.628, 0.628)
Pt (0.060, 0.565, 0.565)
Pt (0.065, 0.065, 0.567)
Pt (0.065, 0.567, 0.065)
Pt (0.314, 0.314, 0.314)
Pt (0.565, 0.060, 0.565)
Pt (0.565, 0.565, 0.060)
Pt (0.567, 0.065, 0.065)
Pt (0.815, 0.815, 0.815)

- E: -0.3996 Ry/atom
- Density: 13.495 g/cm3

---

Computed, not measured: a relaxed structure of SmPaN2 at the PBE level of DFT.

Cell: 3.558 3.558 11.541 Å, 90.00 90.00 120.00°
Element x y z (fractional)
Sm (0.333, 0.667, 0.250)
Sm (0.667, 0.333, 0.750)
Pa (0.000, 0.000, 0.000)
Pa (0.000, 0.000, 0.500)
N (0.333, 0.667, 0.609)
N (0.333, 0.667, 0.891)
N (0.667, 0.333, 0.109)
N (0.667, 0.333, 0.391)

- Formation energy without anion corrections: -1.586 eV per atom
- Density: 10.747 g/cm3

---

Computed, not measured: a relaxed structure of YEr2Ga6 at the PBE level of DFT.

Cell: 7.459 7.459 3.793 Å, 90.00 90.00 120.00°
Element x y z (fractional)
Y (0.000, 0.000, 0.000)
Er (0.333, 0.667, 0.000)
Er (0.667, 0.333, 0.000)
Ga (0.000, 0.334, 0.500)
Ga (0.000, 0.666, 0.500)
Ga (0.334, 0.000, 0.500)
Ga (0.334, 0.334, 0.500)
Ga (0.666, 0.000, 0.500)
Ga (0.666, 0.666, 0.500)

- Density: 7.648 g/cm3
- Polymorph energy (0 for the lowest one): 0 meV/atom

---

Computed, not measured: a relaxed structure of HoAl2SiPd4 at the PBE level of DFT.

Cell: 8.722 8.722 8.722 Å, 28.56 28.56 28.56°
Element x y z (fractional)
Ho (0.000, 0.000, 0.000)
Al (0.246, 0.246, 0.246)
Al (0.754, 0.754, 0.754)
Si (0.500, 0.500, 0.500)
Pd (0.136, 0.136, 0.136)
Pd (0.403, 0.403, 0.403)
Pd (0.597, 0.597, 0.597)
Pd (0.864, 0.864, 0.864)

- Formation energy without anion corrections: -0.770 eV per atom
- Density: 8.334 g/cm3

---

Computed, not measured: a relaxed structure of Mg2MnBr at the PBE level of DFT.

Cell: 8.825 8.825 8.825 Å, 22.22 22.22 22.22°
Element x y z (fractional)
Mg (0.249, 0.249, 0.249)
Mg (0.751, 0.751, 0.751)
Mn (0.500, 0.500, 0.500)
Br (0.000, 0.000, 0.000)

- Formation energy without anion corrections: -0.070 eV per atom
- Density: 3.536 g/cm3
- Polymorph energy (0 for the lowest one): 53 meV/atom

---

Computed, not measured: a relaxed structure of Li2DyHo2In5 at the PBE level of DFT.

Cell: 10.314 10.314 4.391 Å, 90.00 90.00 90.00°
Element x y z (fractional)
Li (0.120, 0.380, 0.000)
Li (0.380, 0.880, 0.000)
Li (0.620, 0.120, 0.000)
Li (0.880, 0.620, 0.000)
Dy (0.000, 0.000, 0.000)
Dy (0.500, 0.500, 0.000)
Ho (0.174, 0.674, 0.000)
Ho (0.326, 0.174, 0.000)
Ho (0.674, 0.826, 0.000)
Ho (0.826, 0.326, 0.000)
In (0.000, 0.500, 0.500)
In (0.075, 0.212, 0.500)
In (0.212, 0.925, 0.500)
In (0.288, 0.425, 0.500)
In (0.425, 0.712, 0.500)
In (0.500, 0.000, 0.500)
In (0.575, 0.288, 0.500)
In (0.712, 0.575, 0.500)
In (0.788, 0.075, 0.500)
In (0.925, 0.788, 0.500)

- E: -0.2567 Ry/atom
- Density: 7.681 g/cm3

---

Computed, not measured: a relaxed structure of ZnSeN2O at the PBE level of DFT.

Cell: 3.887 3.887 4.032 Å, 90.00 90.00 90.00°
Element x y z (fractional)
Zn (0.000, 0.000, 0.000)
Se (0.500, 0.500, 0.000)
N (0.000, 0.500, 0.500)
N (0.500, 0.000, 0.500)
O (0.500, 0.500, 0.500)

- Formation energy without anion corrections: 1.945 eV per atom
- Density: 5.134 g/cm3

---

Computed, not measured: a relaxed structure of NdSmDy2P4 at the PBE level of DFT.

Cell: 7.052 4.075 7.054 Å, 90.00 109.46 90.00°
Element x y z (fractional)
Nd (0.000, 0.000, 0.000)
Sm (0.000, 0.500, 0.500)
Dy (0.500, 0.000, 0.500)
Dy (0.500, 0.500, 0.000)
P (0.257, 0.000, 0.751)
P (0.258, 0.500, 0.254)
P (0.742, 0.500, 0.746)
P (0.743, 0.000, 0.249)

- E: -0.4866 Ry/atom
- Density: 6.460 g/cm3